Below is crystalline LiHo2InO5 at its relaxed geometry, with properties calculated at the PBE level.

## Properties
Raw formation energy in meV/atom: -2627
Crystal system: orthorhombic

Cell: 3.2808 6.8025 9.7072 Å, 90.00 90.00 103.95°
Last column: nearest neighbours and their distance in Å.
Atoms (fractional coordinates):
Li 0.5142 0.0284 0.9825  4 O 1.88-2.01
Li 0.4858 0.9716 0.4825  4 O 1.88-2.01
Ho 0.8772 0.7545 0.7927  6 O 2.32-2.42
Ho 0.1090 0.2180 0.6842  8 O 2.33-2.57
Ho 0.1228 0.2455 0.2927  6 O 2.32-2.42
Ho 0.8910 0.7820 0.1842  8 O 2.33-2.57
In 0.8018 0.6035 0.4994  6 O 2.13-2.28
In 0.1982 0.3965 0.9994  6 O 2.13-2.28
O 0.3629 0.7257 0.0052  1 Li 2.01, 1 In 2.17
O 0.6987 0.3974 0.8476  2 In 2.20, 1 Ho 2.42
O 0.5010 0.0020 0.7838  1 Li 1.94
O 0.2887 0.5774 0.6620  2 In 2.28, 3 Ho 2.38
O 0.9552 0.9104 0.5666  2 Li 1.88
O 0.6371 0.2743 0.5052  1 Li 2.01, 1 In 2.17
O 0.3013 0.6026 0.3476  2 In 2.20, 1 Ho 2.42
O 0.4990 0.9980 0.2838  1 Li 1.94
O 0.7113 0.4226 0.1620  2 In 2.28, 3 Ho 2.38
O 0.0448 0.0896 0.0666  2 Li 1.88